Record 1
TmMgPb PBE optimized geometry; calculated total energy = -9.45 eV/cell; symmetry = No. 216
1.0
-0.7901 -3.2520 3.8255
-3.6732 -3.4954 -0.3534
1.2057 -4.9074 -0.5461
Mg Pb Tm
1 1 1
Direct
0.2500 0.2500 0.2500
0.7500 0.7500 0.7500
0.0000 0.0000 0.0000

***

Record 2
TmMgPb2 PBE optimized geometry; calculated total energy = -14.55 eV/cell; symmetry = No. 123
1.0
4.9107 0.0000 0.0000
0.0000 4.9107 0.0000
0.0000 0.0000 4.3470
Mg Pb Tm
1 2 1
Direct
0.0000 0.0000 0.5000
0.5000 0.0000 0.0000
0.0000 0.5000 0.0000
0.5000 0.5000 0.5000

***

Record 3
MgZr5Pb3 PBE optimized geometry; calculated total energy = -114.52 eV/cell; symmetry = No. 193
1.0
8.8644 0.0000 0.0000
-4.4322 7.6768 0.0000
0.0000 0.0000 6.0263
Mg Pb Zr
2 6 10
Direct
0.0000 0.0000 0.0000
0.0000 0.0000 0.5000
0.6242 0.0000 0.2500
0.3758 0.3758 0.2500
0.0000 0.6242 0.2500
0.3758 0.0000 0.7500
0.0000 0.3758 0.7500
0.6242 0.6242 0.7500
0.6667 0.3333 0.0000
0.3333 0.6667 0.0000
0.2836 0.0000 0.2500
0.0000 0.2836 0.2500
0.7164 0.7164 0.2500
0.6667 0.3333 0.5000
0.3333 0.6667 0.5000
0.7164 0.0000 0.7500
0.2836 0.2836 0.7500
0.0000 0.7164 0.7500

***

Record 4
Mg2Pd PBE optimized geometry; calculated total energy = -17.88 eV/cell; symmetry = No. 136
1.0
-2.4153 2.5239 -4.9467
4.1686 -2.7400 -3.4335
-2.3300 -3.0319 -0.4093
Mg Pd
4 2
Direct
0.2988 0.2988 0.0000
0.7012 0.7012 0.0000
0.7988 0.2012 0.5000
0.2012 0.7988 0.5000
0.0000 0.0000 0.0000
0.5000 0.5000 0.5000

***

Record 5
Mg5Pd2 PBE optimized geometry; calculated total energy = -81.79 eV/cell; symmetry = No. 194
1.0
-6.9596 -2.2144 5.0345
7.8965 -3.7758 1.4405
1.8317 5.7642 5.0676
Mg Pd
20 8
Direct
0.0000 0.0000 0.0000
0.7957 0.5914 0.0417
0.4086 0.2043 0.0417
0.7957 0.2043 0.0417
0.0179 0.5089 0.2500
0.4911 0.5089 0.2500
0.4910 0.9821 0.2500
0.4086 0.2043 0.4583
0.7957 0.2043 0.4583
0.7957 0.5914 0.4583
0.0000 0.0000 0.5000
0.2043 0.4086 0.5417
0.2043 0.7957 0.5417
0.5914 0.7957 0.5417
0.5090 0.0179 0.7500
0.5089 0.4911 0.7500
0.9821 0.4911 0.7500
0.2043 0.7957 0.9583
0.5914 0.7957 0.9583
0.2043 0.4086 0.9583
0.1208 0.2417 0.2500
0.3333 0.6666 0.2500
0.1208 0.8792 0.2500
0.7583 0.8792 0.2500
0.2417 0.1208 0.7500
0.8792 0.1208 0.7500
0.6667 0.3334 0.7500
0.8792 0.7583 0.7500

***

Record 6
Mg2Pd PBE optimized geometry; calculated total energy = -16.75 eV/cell; symmetry = No. 227
1.0
1.6900 0.5944 5.0743
-1.7867 -3.3225 3.8376
3.3212 -3.6341 2.1730
Mg Pd
4 2
Direct
0.6250 0.6250 0.1250
0.6250 0.1250 0.6250
0.1250 0.6250 0.6250
0.6250 0.6250 0.6250
0.0000 0.0000 0.0000
0.2500 0.2500 0.2500

***

> Among the records above, which one has the highest calculated total energy?

TmMgPb